{"formula": "NaDyLuTl", "functional": "GGA-PBE", "state": "optimized geometry", "mass_density_g_cm3": 8.64, "energy_ev_per_cell": -12.9, "total_magnetization_mub_per_fu": 0.00, "e_form_mev_per_atom": -14, "lattice": [[5.355, 0.000, 0.000], [2.678, 4.638, 0.000], [2.678, 1.546, 4.372]], "species": ["Na", "Tl", "Lu", "Dy"], "fractional_positions": [[0.500, 0.500, 0.500], [0.000, 0.000, 0.000], [0.750, 0.750, 0.750], [0.250, 0.250, 0.250]]}


{"formula": "Li2MgPd6", "functional": "GGA-PBE", "state": "optimized geometry", "mass_density_g_cm3": 8.36, "energy_ev_per_cell": -39.8, "de_polymorph_mev_per_atom": 0, "total_magnetization_mub_per_fu": 0.00, "e_form_mev_per_atom": -361, "lattice": [[5.028, -0.750, 0.841], [0.523, 4.131, 2.985], [-0.924, 1.675, 7.258]], "species": ["Li", "Li", "Mg", "Pd", "Pd", "Pd", "Pd", "Pd", "Pd"], "fractional_positions": [[0.346, 0.307, 0.347], [0.654, 0.693, 0.653], [0.000, 0.000, 0.000], [0.085, 0.805, 0.439], [0.915, 0.195, 0.561], [0.755, 0.475, 0.086], [0.439, 0.159, 0.756], [0.561, 0.841, 0.244], [0.245, 0.525, 0.914]]}


{"formula": "ScTlCd", "functional": "GGA-PBE", "state": "optimized geometry", "mass_density_g_cm3": 8.10, "energy_ev_per_cell": -9.7, "total_magnetization_mub_per_fu": 0.00, "e_form_mev_per_atom": -36, "lattice": [[-2.498, -0.904, 2.116], [1.165, -2.215, -2.296], [5.022, -2.430, 4.891]], "species": ["Cd", "Sc", "Tl"], "fractional_positions": [[0.000, 0.000, 0.007], [0.667, 0.333, 0.330], [0.333, 0.667, 0.663]]}


{"formula": "ErHfBeOs", "functional": "GGA-PBE", "state": "optimized geometry", "mass_density_g_cm3": 12.60, "energy_ev_per_cell": -30.3, "total_magnetization_mub_per_fu": 0.00, "e_form_mev_per_atom": -195, "lattice": [[4.665, 0.000, 0.000], [2.333, 4.040, 0.000], [2.333, 1.347, 3.809]], "species": ["Hf", "Os", "Be", "Er"], "fractional_positions": [[0.000, 0.000, 0.000], [0.250, 0.250, 0.250], [0.750, 0.750, 0.750], [0.500, 0.500, 0.500]]}


{"formula": "BTe2OsCl", "functional": "GGA-PBE", "state": "optimized geometry", "mass_density_g_cm3": 6.19, "energy_ev_per_cell": -14.8, "total_magnetization_mub_per_fu": 0.00, "lattice": [[5.581, 0.000, 0.000], [0.000, 4.233, 0.000], [0.000, 0.000, 5.581]], "species": ["B", "Te", "Te", "Os", "Cl"], "fractional_positions": [[0.500, 0.500, 0.500], [0.000, 0.000, 0.500], [0.500, 0.000, 0.000], [0.000, 0.500, 0.000], [0.000, 0.000, 0.000]]}


{"formula": "Ac3ErCo", "functional": "GGA-PBE", "state": "optimized geometry", "mass_density_g_cm3": 8.30, "energy_ev_per_cell": -23.5, "total_magnetization_mub_per_fu": 0.00, "e_form_mev_per_atom": 96, "lattice": [[-5.485, 1.304, 0.517], [-0.515, -3.814, 4.152], [1.305, 3.976, 3.813]], "species": ["Ac", "Ac", "Ac", "Co", "Er"], "fractional_positions": [[0.000, 0.500, 0.000], [0.000, 0.000, 0.500], [0.500, 0.000, 0.000], [0.000, 0.000, 0.000], [0.500, 0.500, 0.500]]}


What did the third record say?
{"formula": "ScTlCd", "functional": "GGA-PBE", "state": "optimized geometry", "mass_density_g_cm3": 8.10, "energy_ev_per_cell": -9.7, "total_magnetization_mub_per_fu": 0.00, "e_form_mev_per_atom": -36, "lattice": [[-2.498, -0.904, 2.116], [1.165, -2.215, -2.296], [5.022, -2.430, 4.891]], "species": ["Cd", "Sc", "Tl"], "fractional_positions": [[0.000, 0.000, 0.007], [0.667, 0.333, 0.330], [0.333, 0.667, 0.663]]}


Copy entry 4 word for word.
{"formula": "ErHfBeOs", "functional": "GGA-PBE", "state": "optimized geometry", "mass_density_g_cm3": 12.60, "energy_ev_per_cell": -30.3, "total_magnetization_mub_per_fu": 0.00, "e_form_mev_per_atom": -195, "lattice": [[4.665, 0.000, 0.000], [2.333, 4.040, 0.000], [2.333, 1.347, 3.809]], "species": ["Hf", "Os", "Be", "Er"], "fractional_positions": [[0.000, 0.000, 0.000], [0.250, 0.250, 0.250], [0.750, 0.750, 0.750], [0.500, 0.500, 0.500]]}